Entry 1:
# TcSbSe2, optimized geometry, DFT GGA-PBE
# V (Å³ per atom): 19.04
# Energy relative to the elements, uncorrected (meV/atom): 527
# M_tot (μB/f.u.): 0.0
# Space-group type: No. 119
data_TcSbSe2
_space_group_name_H-M_alt 'P 1'
_space_group_IT_number 1
_space_group_name_Hall 'P 1'
_cell_length_a 5.038
_cell_length_b 5.038
_cell_length_c 5.038
_cell_angle_alpha 128.49
_cell_angle_beta 128.49
_cell_angle_gamma 75.83
loop_
_atom_site_label
_atom_site_fract_x
_atom_site_fract_y
_atom_site_fract_z
_atom_site_occupancy
Sb1 0.750 0.250 0.500 1
Se1 0.250 0.750 0.500 1
Se2 0.000 0.000 0.000 1
Tc1 0.500 0.500 0.000 1

***

Entry 2:
# Hf3PdRh2, optimized geometry, DFT GGA-PBE
# V (Å³ per atom): 17.76
# Polymorph energy (0 for the lowest one) (kJ/mol of atoms): 0.25
# M_tot (μB/f.u.): 0.0
# DFT formation energy (kJ per mole of atoms): -75.81
# Space-group type: No. 59
data_Hf3PdRh2
_space_group_name_H-M_alt 'P 1'
_space_group_IT_number 1
_space_group_name_Hall 'P 1'
_cell_length_a 3.243
_cell_length_b 4.686
_cell_length_c 14.020
_cell_angle_alpha 90.00
_cell_angle_beta 90.00
_cell_angle_gamma 90.00
loop_
_atom_site_label
_atom_site_fract_x
_atom_site_fract_y
_atom_site_fract_z
_atom_site_occupancy
Hf1 0.500 0.500 0.669 1
Hf2 0.500 0.000 0.831 1
Hf3 0.499 0.000 0.500 1
Pd1 0.001 0.000 0.000 1
Rh1 0.000 0.500 0.167 1
Rh2 0.000 0.000 0.667 1
Hf4 0.501 0.500 0.000 1
Hf5 0.500 0.000 0.169 1
Pd2 0.999 0.500 0.500 1
Rh3 0.000 0.500 0.833 1
Hf6 0.500 0.500 0.331 1
Rh4 0.000 0.000 0.333 1

***

Entry 3:
# Li2MgZn, optimized geometry, DFT GGA-PBE
# V (Å³ per atom): 17.86
# M_tot (μB/f.u.): 0.0
# DFT formation energy (kJ per mole of atoms): -10.75
# Space-group type: No. 99
data_Li2MgZn
_space_group_name_H-M_alt 'P 1'
_space_group_IT_number 1
_space_group_name_Hall 'P 1'
_cell_length_a 3.253
_cell_length_b 3.253
_cell_length_c 6.752
_cell_angle_alpha 90.00
_cell_angle_beta 90.00
_cell_angle_gamma 90.00
loop_
_atom_site_label
_atom_site_fract_x
_atom_site_fract_y
_atom_site_fract_z
_atom_site_occupancy
Li1 0.000 0.000 0.978 1
Zn1 0.500 0.500 0.774 1
Mg1 0.000 0.000 0.519 1
Li2 0.500 0.500 0.229 1

***

Entry 4:
# CuWSe, optimized geometry, DFT GGA-PBE
# V (Å³ per atom): 17.15
# Energy relative to the elements, uncorrected (meV/atom): 199
# Polymorph energy (0 for the lowest one) (kJ/mol of atoms): 9.43
# M_tot (μB/f.u.): 0.0
# Space-group type: No. 156
data_CuWSe
_space_group_name_H-M_alt 'P 1'
_space_group_IT_number 1
_space_group_name_Hall 'P 1'
_cell_length_a 3.090
_cell_length_b 3.090
_cell_length_c 6.221
_cell_angle_alpha 90.00
_cell_angle_beta 90.00
_cell_angle_gamma 120.00
loop_
_atom_site_label
_atom_site_fract_x
_atom_site_fract_y
_atom_site_fract_z
_atom_site_occupancy
Se1 0.333 0.667 0.234 1
W1 0.000 0.000 0.516 1
Cu1 0.333 0.667 0.836 1

***

Entry 5:
# LiAcSmRu, optimized geometry, DFT GGA-PBE
# V (Å³ per atom): 24.53
# M_tot (μB/f.u.): 0.0
# DFT formation energy (kJ per mole of atoms): -8.66
# Space-group type: No. 216
data_LiAcSmRu
_space_group_name_H-M_alt 'P 1'
_space_group_IT_number 1
_space_group_name_Hall 'P 1'
_cell_length_a 5.177
_cell_length_b 5.177
_cell_length_c 5.177
_cell_angle_alpha 60.00
_cell_angle_beta 60.00
_cell_angle_gamma 60.00
loop_
_atom_site_label
_atom_site_fract_x
_atom_site_fract_y
_atom_site_fract_z
_atom_site_occupancy
Ac1 0.500 0.500 0.500 1
Li1 0.250 0.250 0.250 1
Sm1 0.000 0.000 0.000 1
Ru1 0.750 0.750 0.750 1

***

Entry 6:
# NiTeOs3, optimized geometry, DFT GGA-PBE
# V (Å³ per atom): 21.79
# Energy relative to the elements, uncorrected (meV/atom): 2757
# Polymorph energy (0 for the lowest one) (kJ/mol of atoms): 85.59
# M_tot (μB/f.u.): 0.2
# Space-group type: No. 221
data_NiTeOs3
_space_group_name_H-M_alt 'P 1'
_space_group_IT_number 1
_space_group_name_Hall 'P 1'
_cell_length_a 4.776
_cell_length_b 4.776
_cell_length_c 4.776
_cell_angle_alpha 90.00
_cell_angle_beta 90.00
_cell_angle_gamma 90.00
loop_
_atom_site_label
_atom_site_fract_x
_atom_site_fract_y
_atom_site_fract_z
_atom_site_occupancy
Os1 0.500 0.000 0.000 1
Os2 0.000 0.500 0.000 1
Ni1 0.500 0.500 0.500 1
Os3 0.000 0.000 0.500 1
Te1 0.000 0.000 0.000 1

***

- Which formula does entry 1 have?
  TcSbSe2

***

- What is the V in the fifth record?
  24.53 Å³ per atom

***

- The highest M_tot belongs to which entry?
  NiTeOs3

***

- The highest M_tot belongs to which entry?
  NiTeOs3